Density functional theory data (PBE-GGA) for a relaxed structure of Pr2SiPPt6.

Lattice parameters (Å, degrees): 5.5936 8.3122 8.4388 90.00 90.00 90.00
Sites, in units of the cell vectors:
Pr: 0.5000 0.7300 0.2485
Pr: 0.0000 0.2700 0.7485
Pr: 0.5000 0.7300 0.7515
Pr: 0.0000 0.2700 0.2515
Si: 0.5000 0.2650 0.5000
Si: 0.0000 0.7350 0.0000
P: 0.0000 0.7336 0.5000
P: 0.5000 0.2664 0.0000
Pt: 0.5000 0.1262 0.2431
Pt: 0.5000 0.1262 0.7569
Pt: 0.0000 0.8738 0.2569
Pt: 0.0000 0.8738 0.7431
Pt: 0.2497 0.0141 0.5000
Pt: 0.7503 0.0141 0.5000
Pt: 0.2506 0.5023 0.5000
Pt: 0.7494 0.5023 0.5000
Pt: 0.7506 0.4977 0.0000
Pt: 0.2494 0.4977 0.0000
Pt: 0.2503 0.9859 0.0000
Pt: 0.7497 0.9859 0.0000

Computed properties:
raw formation energy	-9.7	eV per formula unit
space-group type	No. 59
energy	-6.638	eV per atom

***

Density functional theory data (PBE-GGA) for a relaxed structure of Pr3SnP2Pt9.

Lattice parameters (Å, degrees): 6.4127 6.4127 9.1786 90.00 90.00 120.00
Sites, in units of the cell vectors:
Pr: 0.3333 0.6667 0.7058
Pr: 0.0000 0.0000 0.0000
Pr: 0.6667 0.3333 0.2942
Sn: 0.0000 0.0000 0.5000
P: 0.3333 0.6667 0.1698
P: 0.6667 0.3333 0.8302
Pt: 0.8513 0.1487 0.7279
Pt: 0.8513 0.7026 0.7279
Pt: 0.2974 0.1487 0.7279
Pt: 0.7026 0.8513 0.2721
Pt: 0.1487 0.2974 0.2721
Pt: 0.1487 0.8513 0.2721
Pt: 0.5000 0.0000 0.0000
Pt: 0.0000 0.5000 0.0000
Pt: 0.5000 0.5000 0.0000

Computed properties:
space-group type	No. 164
energy	-6.267	eV per atom

***

Density functional theory data (PBE-GGA) for a relaxed structure of PrSn2P2Pt7.

Lattice parameters (Å, degrees): 3.9793 3.9793 15.4456 82.57 82.57 89.98
Sites, in units of the cell vectors:
Pr: 0.0000 0.0000 0.0000
Sn: 0.7870 0.7870 0.4258
Sn: 0.2130 0.2130 0.5742
P: 0.6191 0.6191 0.7612
P: 0.3809 0.3809 0.2388
Pt: 0.5000 0.5000 0.0000
Pt: 0.3058 0.3058 0.3902
Pt: 0.6942 0.6942 0.6098
Pt: 0.9233 0.4230 0.1537
Pt: 0.4230 0.9233 0.1537
Pt: 0.5770 0.0767 0.8463
Pt: 0.0767 0.5770 0.8463

Computed properties:
space-group type	No. 139
energy	-6.099	eV per atom

***

Density functional theory data (PBE-GGA) for a relaxed structure of TbPr2P3Pt12.

Lattice parameters (Å, degrees): 7.7805 7.7805 7.7805 64.55 64.55 64.55
Sites, in units of the cell vectors:
Tb: 0.0000 0.0000 0.0000
Pr: 0.6005 0.6005 0.6005
Pr: 0.3995 0.3995 0.3995
P: 0.5000 0.0000 0.0000
P: 0.0000 0.5000 0.0000
P: 0.0000 0.0000 0.5000
Pt: 0.3384 0.3384 0.8983
Pt: 0.8596 0.8596 0.4022
Pt: 0.4022 0.8596 0.8596
Pt: 0.8983 0.3384 0.3384
Pt: 0.8596 0.4022 0.8596
Pt: 0.3384 0.8983 0.3384
Pt: 0.6616 0.6616 0.1017
Pt: 0.1404 0.1404 0.5978
Pt: 0.5978 0.1404 0.1404
Pt: 0.1017 0.6616 0.6616
Pt: 0.1404 0.5978 0.1404
Pt: 0.6616 0.1017 0.6616

Computed properties:
space-group type	No. 166
energy	-6.197	eV per atom

***

Density functional theory data (PBE-GGA) for a relaxed structure of Pr6Te3P2Pt.

Lattice parameters (Å, degrees): 4.2928 8.9242 9.8844 104.46 102.54 90.00
Sites, in units of the cell vectors:
Pr: 0.3363 0.8933 0.6726
Pr: 0.6743 0.5641 0.3486
Pr: 0.6637 0.1067 0.3274
Pr: 0.0085 0.2320 0.0170
Pr: 0.9915 0.7680 0.9830
Pr: 0.3257 0.4359 0.6514
Te: 0.5000 0.5000 0.0000
Te: 0.8338 0.1680 0.6675
Te: 0.1662 0.8320 0.3325
P: 0.8323 0.6644 0.6647
P: 0.1677 0.3356 0.3353
Pt: 0.5000 0.0000 0.0000

Computed properties:
raw formation energy	-17.4	eV per formula unit
space-group type	No. 12
energy	-6.028	eV per atom

***

Density functional theory data (PBE-GGA) for a relaxed structure of Pr4Te2PPt.

Lattice parameters (Å, degrees): 4.2927 7.6144 7.7595 108.74 90.00 90.00
Sites, in units of the cell vectors:
Pr: 0.5000 0.2331 0.2196
Pr: 0.5000 0.7669 0.7804
Pr: 0.0000 0.2616 0.7851
Pr: 0.0000 0.7384 0.2149
Te: 0.5000 0.0000 0.5000
Te: 0.0000 0.5000 0.5000
P: 0.0000 0.0000 0.0000
Pt: 0.5000 0.5000 0.0000

Computed properties:
raw formation energy	-11.0	eV per formula unit
space-group type	No. 10
energy	-5.981	eV per atom

***

no.,total moment (μB/f.u.)
1,0.0
2,0.0
3,0.0
4,0.0
5,0.0
6,0.0